Density functional theory data (PBE-GGA) for a relaxed structure of ScFe4.

The structure in POSCAR format:
```
ScFe4
1.0
-2.835 2.835 2.078
2.835 -2.835 2.078
2.835 2.835 -2.078
Fe Sc
4 1
Direct
0.431 0.196 0.627 Fe
0.804 0.431 0.235 Fe
0.569 0.804 0.373 Fe
0.196 0.569 0.765 Fe
0.000 0.000 0.000 Sc
```

Output
**Calculated volume**: 13.4 A^3/atom
**Theoretical density**: 6.67 Mg/m³
**Calculated formation energy**: 6.39 kJ per mole of atoms
**Crystal system**: tetragonal

Density functional theory data (PBE-GGA) for a relaxed structure of Al4HgSe.

The structure in POSCAR format:
```
Al4HgSe
1.0
-2.701 -4.592 -1.497
-4.067 -1.981 3.187
-5.255 0.312 -1.707
Se Al Hg
1 4 1
Direct
0.000 0.000 0.000 Se
0.375 0.874 0.375 Al
0.375 0.375 0.874 Al
0.874 0.375 0.375 Al
0.375 0.375 0.375 Al
0.750 0.750 0.750 Hg
```

Output
**Uncorrected formation energy**: 229 meV per atom
**Calculated volume**: 20.0 A^3/atom
**Theoretical density**: 5.37 Mg/m³
**Crystal system**: cubic

Density functional theory data (PBE-GGA) for a relaxed structure of Ni2AgAu8.

The structure in POSCAR format:
```
Ni2AgAu8
1.0
-2.182 0.104 -3.452
2.959 -5.415 -2.034
-4.842 -2.145 5.413
Au Ni Ag
8 2 1
Direct
0.854 0.793 0.709 Au
0.952 0.273 0.904 Au
0.146 0.207 0.291 Au
0.317 0.080 0.634 Au
0.398 0.534 0.795 Au
0.683 0.920 0.366 Au
0.602 0.466 0.205 Au
0.048 0.727 0.096 Au
0.773 0.364 0.545 Ni
0.227 0.636 0.455 Ni
0.500 0.000 0.000 Ag
```

Output
**Calculated volume**: 16.8 A^3/atom
**Theoretical density**: 16.14 Mg/m³
**Calculated formation energy**: 3.91 kJ per mole of atoms
**Crystal system**: monoclinic

Density functional theory data (PBE-GGA) for a relaxed structure of Sr2Tl3Pb.

The structure in POSCAR format:
```
Sr2Tl3Pb
1.0
-1.111 4.993 0.755
1.157 1.981 6.308
5.555 3.965 -0.337
Tl Sr Pb
3 2 1
Direct
0.841 0.254 0.064 Tl
0.829 0.678 0.664 Tl
0.163 0.747 0.928 Tl
0.463 0.779 0.295 Sr
0.538 0.213 0.712 Sr
0.166 0.329 0.338 Pb
```

Output
**Calculated volume**: 33.4 A^3/atom
**Theoretical density**: 8.24 Mg/m³
**Calculated formation energy**: -33.21 kJ per mole of atoms
**Crystal system**: monoclinic

Density functional theory data (PBE-GGA) for a relaxed structure of Cs2Cd3InPb4.

The structure in POSCAR format:
```
Cs2Cd3InPb4
1.0
-0.522 -2.509 4.514
-2.943 -3.584 -2.332
10.668 -7.022 -2.670
In Pb Cd Cs
1 4 3 2
Direct
0.500 0.500 0.500 In
0.500 0.000 0.631 Pb
0.500 0.500 0.000 Pb
0.000 0.000 0.000 Pb
0.000 0.500 0.369 Pb
0.500 0.000 0.865 Cd
0.000 0.000 0.500 Cd
0.000 0.500 0.135 Cd
0.500 0.000 0.255 Cs
0.000 0.500 0.745 Cs
```

Output
**Calculated volume**: 35.2 A^3/atom
**Theoretical density**: 7.31 Mg/m³
**Calculated formation energy**: -9.88 kJ per mole of atoms
**Crystal system**: tetragonal

Density functional theory data (PBE-GGA) for a relaxed structure of PmY2Th3Se6.

The structure in POSCAR format:
```
PmY2Th3Se6
1.0
-3.379 2.093 -5.786
6.121 -3.383 -0.605
-4.364 -5.812 1.858
Th Y Pm Se
3 2 1 6
Direct
0.500 0.500 0.500 Th
0.837 0.163 0.500 Th
0.163 0.837 0.500 Th
0.332 0.668 0.000 Y
0.668 0.332 0.000 Y
0.000 0.000 0.000 Pm
0.738 0.738 0.234 Se
0.262 0.262 0.766 Se
0.420 0.080 0.240 Se
0.080 0.420 0.240 Se
0.580 0.920 0.760 Se
0.920 0.580 0.760 Se
```

Output
**Uncorrected formation energy**: -1651 meV per atom
**Calculated volume**: 25.5 A^3/atom
**Theoretical density**: 8.10 Mg/m³
**Crystal system**: monoclinic

Density functional theory data (PBE-GGA) for a relaxed structure of LaMo.

The structure in POSCAR format:
```
LaMo
1.0
-7.377 7.068 -4.922
-3.794 -8.484 -6.498
-2.566 -0.856 2.616
La Mo
8 8
Direct
0.705 0.000 0.500 La
0.795 0.500 0.000 La
0.000 0.705 0.500 La
0.000 0.295 0.500 La
0.295 0.000 0.500 La
0.500 0.205 0.000 La
0.205 0.500 0.000 La
0.500 0.795 0.000 La
0.701 0.701 0.500 Mo
0.299 0.299 0.500 Mo
0.201 0.799 0.000 Mo
0.799 0.799 0.000 Mo
0.799 0.201 0.000 Mo
0.299 0.701 0.500 Mo
0.201 0.201 0.000 Mo
0.701 0.299 0.500 Mo
```

Output
**Calculated volume**: 30.2 A^3/atom
**Theoretical density**: 6.45 Mg/m³
**Calculated formation energy**: 57.76 kJ per mole of atoms
**Crystal system**: tetragonal

Density functional theory data (PBE-GGA) for a relaxed structure of Tb2MgTc.

The structure in POSCAR format:
```
Tb2MgTc
1.0
3.391 0.000 0.000
1.696 2.937 0.000
1.696 0.979 10.795
Tb Mg Tc
2 1 1
Direct
0.896 0.896 0.312 Tb
0.104 0.104 0.688 Tb
0.000 0.000 0.000 Mg
0.500 0.500 0.500 Tc
```

Output
**Calculated volume**: 26.9 A^3/atom
**Theoretical density**: 6.80 Mg/m³
**Calculated formation energy**: 26.86 kJ per mole of atoms
**Crystal system**: trigonal

Density functional theory data (PBE-GGA) for a relaxed structure of ReAg2W.

The structure in POSCAR format:
```
ReAg2W
1.0
0.000 3.195 3.195
3.195 0.000 3.195
3.195 3.195 0.000
Ag Re W
2 1 1
Direct
0.750 0.750 0.750 Ag
0.250 0.250 0.250 Ag
0.500 0.500 0.500 Re
0.000 0.000 0.000 W
```

Output
**Calculated volume**: 16.3 A^3/atom
**Theoretical density**: 14.91 Mg/m³
**Calculated formation energy**: 116.15 kJ per mole of atoms
**Crystal system**: cubic

Density functional theory data (PBE-GGA) for a relaxed structure of Ce4NdS5.

The structure in POSCAR format:
```
Ce4NdS5
1.0
-5.372 1.512 -1.159
-4.805 -3.598 3.563
-2.473 5.091 4.086
Ce Nd S
4 1 5
Direct
0.201 0.199 0.401 Ce
0.602 0.599 0.199 Ce
0.801 0.801 0.599 Ce
0.400 0.401 0.801 Ce
0.001 0.000 0.000 Nd
0.901 0.402 0.799 S
0.501 0.000 0.000 S
0.303 0.799 0.598 S
0.101 0.598 0.201 S
0.699 0.201 0.402 S
```

Output
**Uncorrected formation energy**: -2043 meV per atom
**Calculated volume**: 23.1 A^3/atom
**Theoretical density**: 6.21 Mg/m³
**Crystal system**: tetragonal

Density functional theory data (PBE-GGA) for a relaxed structure of Er3PuAl8.

The structure in POSCAR format:
```
Er3PuAl8
1.0
5.538 0.000 0.000
-2.769 4.796 0.000
0.000 0.000 9.027
Er Al Pu
3 8 1
Direct
0.667 0.333 0.437 Er
0.000 0.000 0.925 Er
0.667 0.333 0.066 Er
0.505 0.009 0.751 Al
0.505 0.495 0.751 Al
0.162 0.838 0.249 Al
0.333 0.667 0.501 Al
0.676 0.838 0.249 Al
0.991 0.495 0.751 Al
0.333 0.667 0.003 Al
0.162 0.324 0.249 Al
0.000 0.000 0.568 Pu
```

Output
**Calculated volume**: 20.0 A^3/atom
**Theoretical density**: 6.66 Mg/m³
**Calculated formation energy**: -42.71 kJ per mole of atoms
**Crystal system**: trigonal

Density functional theory data (PBE-GGA) for a relaxed structure of PmGdAu2.

The structure in POSCAR format:
```
PmGdAu2
1.0
-3.369 1.796 -2.050
-2.466 -2.402 -2.631
-5.993 -1.800 3.692
Gd Pm Au
1 1 2
Direct
0.500 0.500 0.500 Gd
0.000 0.000 0.000 Pm
0.752 0.752 0.744 Au
0.248 0.248 0.256 Au
```

Output
**Calculated volume**: 27.7 A^3/atom
**Theoretical density**: 10.42 Mg/m³
**Calculated formation energy**: -66.86 kJ per mole of atoms
**Crystal system**: trigonal

Density functional theory data (PBE-GGA) for a relaxed structure of Cd2TeOs.

The structure in POSCAR format:
```
Cd2TeOs
1.0
5.312 0.000 0.000
0.000 3.246 0.013
0.000 -0.029 4.793
Cd Os Te
2 1 1
Direct
0.000 0.492 0.489 Cd
0.000 0.008 0.011 Cd
0.500 0.250 0.250 Os
0.500 0.750 0.750 Te
```

Output
**Uncorrected formation energy**: 670 meV per atom
**Calculated volume**: 20.7 A^3/atom
**Theoretical density**: 10.90 Mg/m³
**Crystal system**: monoclinic

Density functional theory data (PBE-GGA) for a relaxed structure of LiOsCl5.

The structure in POSCAR format:
```
LiOsCl5
1.0
7.360 0.708 1.219
3.835 6.321 1.219
1.017 0.639 8.693
Cl Os Li
10 2 2
Direct
0.793 0.394 0.018 Cl
0.394 0.793 0.518 Cl
0.313 0.999 0.880 Cl
0.145 0.855 0.250 Cl
0.999 0.313 0.380 Cl
0.687 0.001 0.120 Cl
0.207 0.606 0.982 Cl
0.855 0.145 0.750 Cl
0.606 0.207 0.482 Cl
0.001 0.687 0.620 Cl
0.000 0.000 0.500 Os
0.000 0.000 0.000 Os
0.529 0.471 0.250 Li
0.471 0.529 0.750 Li
```

Output
**Uncorrected formation energy**: -728 meV per atom
**Calculated volume**: 26.5 A^3/atom
**Theoretical density**: 3.35 Mg/m³
**Crystal system**: monoclinic

Density functional theory data (PBE-GGA) for a relaxed structure of K3Pr3BiS8.

The structure in POSCAR format:
```
K3Pr3BiS8
1.0
-3.127 -4.752 -6.122
-3.537 -0.076 7.569
-1.127 7.269 -5.067
K S Bi Pr
3 8 1 3
Direct
0.500 0.500 0.000 K
0.000 0.000 0.000 K
0.000 0.500 0.000 K
0.228 0.975 0.702 S
0.253 0.025 0.298 S
0.264 0.529 0.293 S
0.736 0.471 0.707 S
0.772 0.544 0.297 S
0.772 0.025 0.298 S
0.747 0.975 0.702 S
0.228 0.456 0.703 S
0.000 0.000 0.500 Bi
0.000 0.500 0.500 Pr
0.500 0.000 0.500 Pr
0.500 0.500 0.500 Pr
```

Output
**Uncorrected formation energy**: -1479 meV per atom
**Calculated volume**: 30.3 A^3/atom
**Theoretical density**: 3.67 Mg/m³
**Crystal system**: trigonal

Density functional theory data (PBE-GGA) for a relaxed structure of U3NbN4.

The structure in POSCAR format:
```
U3NbN4
1.0
-3.354 -1.499 -4.551
0.040 -4.326 3.907
-5.323 2.693 3.037
U N Nb
6 8 2
Direct
0.750 0.500 0.628 U
0.250 0.500 0.881 U
0.750 0.500 0.119 U
0.750 0.000 0.370 U
0.250 0.500 0.372 U
0.250 0.000 0.630 U
0.507 0.759 0.633 N
0.003 0.769 0.883 N
0.503 0.769 0.117 N
0.993 0.241 0.633 N
0.997 0.231 0.117 N
0.493 0.241 0.367 N
0.007 0.759 0.367 N
0.497 0.231 0.883 N
0.250 0.000 0.130 Nb
0.750 0.000 0.870 Nb
```

Output
**Uncorrected formation energy**: -1280 meV per atom
**Calculated volume**: 13.4 A^3/atom
**Theoretical density**: 13.33 Mg/m³
**Crystal system**: monoclinic

Density functional theory data (PBE-GGA) for a relaxed structure of YH2Ru.

The structure in POSCAR format:
```
YH2Ru
1.0
3.033 1.010 2.438
0.333 3.777 1.335
-0.722 0.837 3.865
Y Ru H
1 1 2
Direct
0.000 0.000 0.000 Y
0.500 0.500 0.500 Ru
0.750 0.750 0.750 H
0.250 0.250 0.250 H
```

Output
**Energy**: -5.46 eV/atom
**Calculated volume**: 11.5 A^3/atom
**Theoretical density**: 6.94 Mg/m³
**Crystal system**: cubic

Density functional theory data (PBE-GGA) for a relaxed structure of Ga3Cu3Pb.

The structure in POSCAR format:
```
Ga3Cu3Pb
1.0
6.750 0.000 0.000
0.000 6.750 0.000
0.000 0.000 6.750
Pb Cu Ga
2 6 6
Direct
0.000 0.000 0.000 Pb
0.500 0.500 0.500 Pb
0.250 0.500 0.000 Cu
0.000 0.250 0.500 Cu
0.750 0.500 0.000 Cu
0.000 0.750 0.500 Cu
0.500 0.000 0.250 Cu
0.500 0.000 0.750 Cu
0.750 0.000 0.500 Ga
0.500 0.250 0.000 Ga
0.500 0.750 0.000 Ga
0.250 0.000 0.500 Ga
0.000 0.500 0.250 Ga
0.000 0.500 0.750 Ga
```

Output
**Calculated volume**: 22.0 A^3/atom
**Theoretical density**: 6.55 Mg/m³
**Calculated formation energy**: 34.25 kJ per mole of atoms
**Crystal system**: cubic

Density functional theory data (PBE-GGA) for a relaxed structure of K2YZr.

The structure in POSCAR format:
```
K2YZr
1.0
7.037 0.000 0.000
0.000 3.388 0.007
0.000 0.168 6.066
K Zr Y
2 1 1
Direct
0.000 0.499 0.506 K
0.000 0.001 0.994 K
0.500 0.750 0.750 Zr
0.500 0.250 0.250 Y
```

Output
**Calculated volume**: 36.2 A^3/atom
**Theoretical density**: 2.97 Mg/m³
**Calculated formation energy**: 71.51 kJ per mole of atoms
**Crystal system**: monoclinic

Density functional theory data (PBE-GGA) for a relaxed structure of Ge2AsS2.

The structure in POSCAR format:
```
Ge2AsS2
1.0
2.362 -3.213 -6.225
1.150 -6.302 3.690
-6.068 3.418 0.323
S Ge As
4 4 2
Direct
0.417 0.662 0.835 S
0.417 0.173 0.835 S
0.412 0.667 0.335 S
0.923 0.667 0.335 S
0.164 0.440 0.327 Ge
0.164 0.887 0.327 Ge
0.637 0.414 0.827 Ge
0.190 0.414 0.827 Ge
0.019 0.019 0.038 As
0.769 0.269 0.538 As
```

Output
**Uncorrected formation energy**: 79 meV per atom
**Calculated volume**: 25.2 A^3/atom
**Theoretical density**: 3.75 Mg/m³
**Crystal system**: tetragonal